A plane-wave DFT calculation with PBE was carried out for a relaxed structure of SmDyU2As4.

Cell lengths 7.0853, 4.0897, 7.2394 Å; angles 90.00, 109.03, 90.00 degrees
Space group P2/m (No. 10)
One atom of each set of equivalent atoms:
1 Sm 0.0000 0.0000 0.0000
2 Dy 0.5000 0.5000 0.0000
3 U 0.0000 0.5000 0.5000
4 U 0.5000 0.0000 0.5000
5 As 0.2515 0.0000 0.7460
6 As 0.2550 0.5000 0.2563

Values from the calculation:
electronic total energy = -59.565 eV for the cell shown
ρ = 9.1 g/cm3
DOS(E_F) = 0.966 states/eV/atom
energy of formation = -1.134 eV per atom

***

A plane-wave DFT calculation with PBE was carried out for a relaxed structure of Sm2DyUAs4.

Cell lengths 7.1935, 4.1399, 7.1982 Å; angles 90.00, 109.15, 90.00 degrees
Space group P2/m (No. 10)
One atom of each set of equivalent atoms:
1 Sm 0.0000 0.0000 0.0000
2 Sm 0.5000 0.5000 0.0000
3 Dy 0.0000 0.5000 0.5000
4 U 0.5000 0.0000 0.5000
5 As 0.2511 0.0000 0.7406
6 As 0.2547 0.5000 0.2590

Values from the calculation:
electronic total energy = -54.551 eV for the cell shown
ρ = 8.2 g/cm3
DOS(E_F) = 1.044 states/eV/atom
energy of formation = -1.328 eV per atom

***

A plane-wave DFT calculation with PBE was carried out for a relaxed structure of SmDy2UAs4.

Cell lengths 7.1533, 4.1177, 7.1553 Å; angles 90.00, 109.18, 90.00 degrees
Space group P2/m (No. 10)
One atom of each set of equivalent atoms:
1 Sm 0.0000 0.0000 0.0000
2 Dy 0.5000 0.0000 0.5000
3 Dy 0.5000 0.5000 0.0000
4 U 0.0000 0.5000 0.5000
5 As 0.2499 0.0000 0.7456
6 As 0.2510 0.5000 0.2573

Values from the calculation:
electronic total energy = -54.418 eV for the cell shown
ρ = 8.5 g/cm3
DOS(E_F) = 1.030 states/eV/atom
energy of formation = -1.326 eV per atom

***

A plane-wave DFT calculation with PBE was carried out for a relaxed structure of Sm2DyY3As6.

Cell lengths 18.1009, 4.1554, 8.3043 Å; angles 90.00, 103.23, 90.00 degrees
Space group C2/m (No. 12)
One atom of each set of equivalent atoms:
1 Sm 0.1661 0.0000 0.3326
2 Dy 0.0000 0.5000 0.0000
3 Y 0.0000 0.5000 0.5000
4 Y 0.1670 0.0000 0.8337
5 As 0.0015 0.0000 0.7514
6 As 0.1663 0.5000 0.0794
7 As 0.1655 0.5000 0.5863

Values from the calculation:
electronic total energy = -159.657 eV for the cell shown
ρ = 6.4 g/cm3
DOS(E_F) = 0.155 states/eV/atom
energy of formation = -1.542 eV per atom

***

A plane-wave DFT calculation with PBE was carried out for a relaxed structure of Sm2Dy3YAs6.

Cell lengths 18.0936, 4.1533, 8.3024 Å; angles 90.00, 103.25, 90.00 degrees
Space group C2/m (No. 12)
One atom of each set of equivalent atoms:
1 Sm 0.1662 0.0000 0.3324
2 Dy 0.0000 0.5000 0.5000
3 Dy 0.1669 0.0000 0.8335
4 Y 0.0000 0.5000 0.0000
5 As 0.0016 0.0000 0.7505
6 As 0.1654 0.5000 0.5865
7 As 0.1666 0.5000 0.0790

Values from the calculation:
electronic total energy = -152.039 eV for the cell shown
ρ = 7.3 g/cm3
DOS(E_F) = 0.149 states/eV/atom
energy of formation = -1.534 eV per atom

***

A plane-wave DFT calculation with PBE was carried out for a relaxed structure of SmDy2Y3As6.

Cell lengths 7.1677, 12.4124, 7.1658 Å; angles 90.00, 109.45, 90.00 degrees
Space group C2/m (No. 12)
One atom of each set of equivalent atoms:
1 Sm 0.0000 0.0000 0.0000
2 Dy 0.0000 0.3331 0.0000
3 Y 0.0000 0.1659 0.5000
4 Y 0.0000 0.5000 0.5000
5 As 0.2471 0.5000 0.2510
6 As 0.2479 0.3317 0.7485

Values from the calculation:
electronic total energy = -159.472 eV for the cell shown
ρ = 6.6 g/cm3
DOS(E_F) = 0.152 states/eV/atom
energy of formation = -1.544 eV per atom

***

A plane-wave DFT calculation with PBE was carried out for a relaxed structure of Sm3DyY2As6.

Cell lengths 18.1651, 4.1705, 8.3336 Å; angles 90.00, 103.22, 90.00 degrees
Space group C2/m (No. 12)
One atom of each set of equivalent atoms:
1 Sm 0.0000 0.0000 0.0000
2 Sm 0.1667 0.5000 0.3332
3 Dy 0.0000 0.0000 0.5000
4 Y 0.1666 0.5000 0.8332
5 As 0.0011 0.5000 0.7466
6 As 0.1653 0.0000 0.5860
7 As 0.1678 0.0000 0.0803

Values from the calculation:
electronic total energy = -156.067 eV for the cell shown
ρ = 6.7 g/cm3
DOS(E_F) = 0.149 states/eV/atom
energy of formation = -1.537 eV per atom

***

A plane-wave DFT calculation with PBE was carried out for a relaxed structure of Sm3Dy2YAs6.

Cell lengths 18.1620, 4.1695, 8.3321 Å; angles 90.00, 103.22, 90.00 degrees
Space group C2/m (No. 12)
One atom of each set of equivalent atoms:
1 Sm 0.0000 0.0000 0.0000
2 Sm 0.1667 0.5000 0.3333
3 Dy 0.1666 0.5000 0.8333
4 Y 0.0000 0.0000 0.5000
5 As 0.0013 0.5000 0.7472
6 As 0.1655 0.0000 0.5867
7 As 0.1680 0.0000 0.0800

Values from the calculation:
electronic total energy = -152.255 eV for the cell shown
ρ = 7.1 g/cm3
DOS(E_F) = 0.152 states/eV/atom
energy of formation = -1.534 eV per atom

***

A plane-wave DFT calculation with PBE was carried out for a relaxed structure of Sm2DyZrAs4.

Cell lengths 7.0859, 4.0905, 7.0941 Å; angles 90.00, 109.29, 90.00 degrees
Space group P2/m (No. 10)
One atom of each set of equivalent atoms:
1 Sm 0.0000 0.0000 0.0000
2 Sm 0.5000 0.5000 0.0000
3 Dy 0.0000 0.5000 0.5000
4 Zr 0.5000 0.0000 0.5000
5 As 0.2534 0.0000 0.7383
6 As 0.2620 0.5000 0.2660

Values from the calculation:
electronic total energy = -52.593 eV for the cell shown
ρ = 7.3 g/cm3
DOS(E_F) = 0.182 states/eV/atom
energy of formation = -1.426 eV per atom

***

A plane-wave DFT calculation with PBE was carried out for a relaxed structure of DySnAs.

Cell lengths 5.8034, 5.8053, 10.1086 Å; angles 90.00, 106.20, 90.00 degrees
Space group Cm (No. 8)
One atom of each set of equivalent atoms:
1 Dy 0.0000 0.0000 0.0000
2 Dy 0.1482 0.5000 0.3039
3 Sn 0.2768 0.0000 0.5771
4 Sn 0.3211 0.5000 0.6686
5 As 0.0019 0.5000 0.0051
6 As 0.1453 0.0000 0.2979

Values from the calculation:
electronic total energy = -63.170 eV for the cell shown
ρ = 7.2 g/cm3
DOS(E_F) = 0.283 states/eV/atom
energy of formation = -0.846 eV per atom

***

A plane-wave DFT calculation with PBE was carried out for a relaxed structure of Dy8SnTe4As3.

Cell lengths 8.5056, 8.5056, 21.2577 Å; angles 90.00, 90.00, 120.00 degrees
Space group R-3m (No. 166, hexagonal axes)
One atom of each set of equivalent atoms:
1 Dy 0.0000 0.0000 0.2391
2 Dy 0.0080 0.5040 0.7585
3 Sn 0.0000 0.0000 0.5000
4 Te 0.0000 0.0000 0.0000
5 Te 0.0000 0.5000 0.0000
6 As 0.0000 0.5000 0.5000

Values from the calculation:
electronic total energy = -267.974 eV for the cell shown
ρ = 8.1 g/cm3
energy relative to the elements, uncorrected = -1.37 eV/atom
DOS(E_F) = 0.332 states/eV/atom

***

A plane-wave DFT calculation with PBE was carried out for a relaxed structure of SrDyAs2.

Cell lengths 4.3629, 4.3629, 21.0499 Å; angles 90.00, 90.00, 120.00 degrees
Space group R3m (No. 160, hexagonal axes)
One atom of each set of equivalent atoms:
1 Sr 0.0000 0.0000 0.0000
2 Dy 0.0000 0.0000 0.8273
3 As 0.0000 0.0000 0.4241
4 As 0.0000 0.0000 0.5685

Values from the calculation:
electronic total energy = -59.722 eV for the cell shown
ρ = 5.7 g/cm3
DOS(E_F) = 0.791 states/eV/atom
energy of formation = -1.081 eV per atom